First-principles (GGA-PBE) data for a relaxed structure of Sr3Tl13, as listed in Alexandria.

Values from the calculation:
Formation energy ... -0.16 eV per atom

a = 9.656 Å, b = 10.046 Å, c = 10.454 Å
α = 90.00°, β = 90.00°, γ = 90.00°
Space group Amm2 (No. 38)
Symmetry-distinct sites (fractional):
Sr: 0.000 0.000 0.000 [2 per cell]
Sr: 0.259 0.000 0.303 [4 per cell]
Tl: 0.000 0.000 0.546 [2 per cell]
Tl: 0.000 0.242 0.272 [4 per cell]
Tl: 0.256 0.246 0.040 [8 per cell]
Tl: 0.257 0.000 0.774 [4 per cell]
Tl: 0.500 0.000 0.040 [2 per cell]
Tl: 0.500 0.000 0.546 [2 per cell]
Tl: 0.500 0.236 0.794 [4 per cell]

First-principles (GGA-PBE) data for a relaxed structure of CsP, as listed in Alexandria.

Values from the calculation:
Formation energy ... -0.23 eV per atom

a = 7.817 Å, b = 11.888 Å, c = 14.654 Å
α = 90.00°, β = 90.00°, γ = 90.00°
Space group Fddd (No. 70, origin choice 2)
Symmetry-distinct sites (fractional):
Cs: 0.125 0.331 0.125 [16 per cell]
P: 0.007 0.375 0.875 [16 per cell]

First-principles (GGA-PBE) data for a relaxed structure of Zr5Tc4Pd, as listed in Alexandria.

Values from the calculation:
Formation energy ... -0.46 eV per atom

a = 3.312 Å, b = 3.312 Å, c = 16.487 Å
α = 90.00°, β = 90.00°, γ = 90.00°
Space group P4/mmm (No. 123)
Symmetry-distinct sites (fractional):
Zr: 0.000 0.000 0.000 [1 per cell]
Zr: 0.000 0.000 0.198 [2 per cell]
Zr: 0.000 0.000 0.393 [2 per cell]
Tc: 0.500 0.500 0.100 [2 per cell]
Tc: 0.500 0.500 0.302 [2 per cell]
Pd: 0.500 0.500 0.500 [1 per cell]

First-principles (GGA-PBE) data for a relaxed structure of PmNdDySn, as listed in Alexandria.

Values from the calculation:
Formation energy ... -0.24 eV per atom

a = 7.785 Å, b = 7.785 Å, c = 7.785 Å
α = 90.00°, β = 90.00°, γ = 90.00°
Space group F-43m (No. 216)
Symmetry-distinct sites (fractional):
Pm: 0.000 0.000 0.000 [4 per cell]
Nd: 0.250 0.250 0.250 [4 per cell]
Dy: 0.250 0.250 0.750 [4 per cell]
Sn: 0.000 0.000 0.500 [4 per cell]

First-principles (GGA-PBE) data for a relaxed structure of Ba2MoP, as listed in Alexandria.

Values from the calculation:
Formation energy ... 0.04 eV per atom

a = 3.519 Å, b = 3.519 Å, c = 9.630 Å
α = 90.00°, β = 90.00°, γ = 90.00°
Space group P4mm (No. 99)
Symmetry-distinct sites (fractional):
Ba: 0.000 0.000 0.000 [1 per cell]
Ba: 0.500 0.500 0.444 [1 per cell]
Mo: 0.000 0.000 0.693 [1 per cell]
P: 0.500 0.500 0.777 [1 per cell]

First-principles (GGA-PBE) data for a relaxed structure of BeSnP3, as listed in Alexandria.

Values from the calculation:
Polymorph energy (0 for the lowest one) ... 0.0000 eV/atom
Formation energy ... 0.56 eV per atom

a = 4.400 Å, b = 4.400 Å, c = 4.400 Å
α = 90.00°, β = 90.00°, γ = 90.00°
Space group Pm-3m (No. 221)
Symmetry-distinct sites (fractional):
Be: 0.000 0.000 0.000 [1 per cell]
Sn: 0.500 0.500 0.500 [1 per cell]
P: 0.000 0.000 0.500 [3 per cell]

First-principles (GGA-PBE) data for a relaxed structure of Pr2SmYS6, as listed in Alexandria.

Values from the calculation:
Total energy ... -197.230 eV per cell

a = 7.1392 Å, b = 7.1392 Å, c = 18.7792 Å
α = 90.00°, β = 90.00°, γ = 120.00°
Space group R3 (No. 146, hexagonal axes)
Symmetry-distinct sites (fractional):
Pr: 0.0000 0.0000 0.0000 [3 per cell]
Pr: 0.0000 0.0000 0.4985 [3 per cell]
Sm: 0.0000 0.0000 0.2071 [3 per cell]
Y: 0.0000 0.0000 0.7050 [3 per cell]
S: 0.0451 0.3578 0.7734 [9 per cell]
S: 0.0468 0.6804 0.2740 [9 per cell]

First-principles (GGA-PBE) data for a relaxed structure of Be2CrNi2, as listed in Alexandria.

Values from the calculation:
Polymorph energy (0 for the lowest one) ... 0.4962 eV/atom
Formation energy ... 0.31 eV per atom

a = 3.665 Å, b = 3.665 Å, c = 7.832 Å
α = 90.00°, β = 90.00°, γ = 90.00°
Space group I4/mmm (No. 139)
Symmetry-distinct sites (fractional):
Be: 0.000 0.500 0.250 [4 per cell]
Cr: 0.000 0.000 0.000 [2 per cell]
Ni: 0.000 0.000 0.364 [4 per cell]